Record 1
# La2MnPt

A relaxed La2MnPt crystal (GGA-PBE, Alexandria via LeMat-Bulk).

Geometry as POSCAR:
```
La2MnPt
1.0
-0.8271 -6.4267 -0.3569
1.3111 -3.6361 -5.2128
2.1994 4.2806 4.3535
La Mn Pt
2 1 1
direct
0.7362 0.2362 0.5000
0.0266 0.0266 0.0000
0.4485 0.4485 0.0000
0.2888 0.7888 0.5000
```

Summary:
Space-group type: Imm2, No. 44
ρ, g cm⁻³: 8.8
ΔH_f (0 K), eV per atom: -0.37



Record 2
# HgAs2F4

A relaxed HgAs2F4 crystal (GGA-PBE, Alexandria via LeMat-Bulk).

Geometry as POSCAR:
```
HgAs2F4
1.0
4.6066 0.0000 0.0000
0.0000 4.6066 0.0000
2.3033 2.3033 7.1675
F As Hg
4 2 1
direct
0.2279 0.2279 0.5443
0.7721 0.7721 0.4557
0.5000 0.0000 0.0000
0.0000 0.5000 0.0000
0.6461 0.6461 0.7079
0.3539 0.3539 0.2921
0.0000 0.0000 0.0000
```

Summary:
E_form (uncorrected), eV per atom: -0.77
Space-group type: I4/mmm, No. 139
ρ, g cm⁻³: 4.7



Record 3
# RbCrOs2

A relaxed RbCrOs2 crystal (GGA-PBE, Alexandria via LeMat-Bulk).

Geometry as POSCAR:
```
RbCrOs2
1.0
-3.7167 1.4311 2.1711
-2.0986 3.7878 -1.3507
-4.0495 -0.2508 -2.0284
Os Rb Cr
2 1 1
direct
0.7500 0.7500 0.7500
0.2500 0.2500 0.2500
0.5000 0.5000 0.5000
0.0000 0.0000 0.0000
```

Summary:
Energy above the lowest structure with this stoichiometry, eV/atom: 0.269
Space-group type: Fm-3m, No. 225
ρ, g cm⁻³: 13.0
ΔH_f (0 K), eV per atom: 2.04



Record 4
# KBeInC2

A relaxed KBeInC2 crystal (GGA-PBE, Alexandria via LeMat-Bulk).

Geometry as POSCAR:
```
KBeInC2
1.0
-3.5604 -3.9680 -1.8136
4.8951 -4.5143 0.2670
-1.3875 -1.1895 5.3264
C In Be K
2 1 1 1
direct
0.5000 0.0000 0.0000
0.0000 0.0000 0.5000
0.0000 0.5000 0.0000
0.5000 0.5000 0.5000
0.0000 0.0000 0.0000
```

Summary:
Space-group type: P4/mmm, No. 123
ρ, g cm⁻³: 1.5
ΔH_f (0 K), eV per atom: 3.35



Record 5
# Sm4Te2PPd

A relaxed Sm4Te2PPd crystal (GGA-PBE, Alexandria via LeMat-Bulk).

Geometry as POSCAR:
```
Sm4Te2PPd
1.0
-2.7074 0.9509 3.0924
-2.5731 -7.0178 -0.0949
5.7349 0.4051 4.8963
Sm Pd Te P
4 1 2 1
direct
0.0000 0.2564 0.7827
0.5000 0.7692 0.7818
0.0000 0.7436 0.2173
0.5000 0.2308 0.2182
0.5000 0.5000 0.0000
0.0000 0.5000 0.5000
0.5000 0.0000 0.5000
0.0000 0.0000 0.0000
```

Summary:
E_form (uncorrected), eV per atom: -1.28
Space-group type: P2/m, No. 10
ρ, g cm⁻³: 7.3



Record 6
# Eu2BRh4

A relaxed Eu2BRh4 crystal (GGA-PBE, Alexandria via LeMat-Bulk).

Geometry as POSCAR:
```
Eu2BRh4
1.0
4.2481 0.0000 0.0000
0.0000 4.2481 0.0000
2.1240 2.1240 7.1853
B Rh Eu
1 4 2
direct
0.0000 0.0000 0.0000
0.1409 0.1409 0.7181
0.5000 0.0000 0.0000
0.0000 0.5000 0.0000
0.8591 0.8591 0.2819
0.6539 0.6539 0.6922
0.3461 0.3461 0.3078
```

Summary:
Space-group type: I4/mmm, No. 139
ρ, g cm⁻³: 9.3
ΔH_f (0 K), eV per atom: -0.32



Record 7
# KNpMnCl6

A relaxed KNpMnCl6 crystal (GGA-PBE, Alexandria via LeMat-Bulk).

Geometry as POSCAR:
```
KNpMnCl6
1.0
6.9358 0.0000 0.0000
-3.4679 6.0066 0.0000
0.0000 0.0000 13.6986
Cl Np Mn K
12 2 2 2
direct
0.6204 0.6413 0.6420
0.6204 0.9791 0.8580
0.3587 0.3796 0.8580
0.3587 0.9791 0.6420
0.9791 0.3587 0.1420
0.0209 0.3796 0.6420
0.3796 0.3587 0.3580
0.6413 0.0209 0.3580
0.9791 0.6204 0.3580
0.3796 0.0209 0.1420
0.6413 0.6204 0.1420
0.0209 0.6413 0.8580
0.3333 0.6667 0.2500
0.6667 0.3333 0.7500
0.3333 0.6667 0.7500
0.6667 0.3333 0.2500
0.0000 0.0000 0.0000
0.0000 0.0000 0.5000
```

Summary:
E_form (uncorrected), eV per atom: -1.57
Space-group type: P-31c, No. 163
ρ, g cm⁻³: 3.2



Record 8
# ZnGePtO6

A relaxed ZnGePtO6 crystal (GGA-PBE, Alexandria via LeMat-Bulk).

Geometry as POSCAR:
```
ZnGePtO6
1.0
-1.7852 -2.4215 -4.1152
4.2840 -1.6091 2.2457
-4.7195 -5.3303 5.1839
O Zn Ge Pt
12 2 2 2
direct
0.0097 0.6520 0.8678
0.3480 0.9903 0.6322
0.3577 0.0097 0.1322
0.6520 0.0097 0.3678
0.9903 0.6423 0.3678
0.3577 0.3480 0.3678
0.9903 0.3480 0.1322
0.0097 0.3577 0.6322
0.6520 0.6423 0.1322
0.3480 0.3577 0.8678
0.6423 0.9903 0.8678
0.6423 0.6520 0.6322
0.0000 0.0000 0.0000
0.0000 0.0000 0.5000
0.6667 0.3333 0.2500
0.3333 0.6667 0.7500
0.6667 0.3333 0.7500
0.3333 0.6667 0.2500
```

Summary:
E_form (uncorrected), eV per atom: -0.91
Space-group type: P-31c, No. 163
ρ, g cm⁻³: 7.2



Record 9
# PmNd4N4

A relaxed PmNd4N4 crystal (GGA-PBE, Alexandria via LeMat-Bulk).

Geometry as POSCAR:
```
PmNd4N4
1.0
-3.3329 -2.0508 4.5157
-3.4316 -2.9746 -3.8836
6.7131 -1.9145 0.1317
Nd N Pm
4 4 1
direct
0.0000 0.5000 0.0000
0.5000 0.0000 0.0000
0.7130 0.7130 0.4259
0.2870 0.2870 0.5741
0.8821 0.3558 0.2379
0.6442 0.6442 0.7621
0.3558 0.8821 0.2379
0.1179 0.1179 0.7621
0.0000 0.0000 0.0000
```

Summary:
Energy above the lowest structure with this stoichiometry, eV/atom: 0.546
E_form (uncorrected), eV per atom: -0.68
Space-group type: I-42m, No. 121
ρ, g cm⁻³: 6.5



Record 10
# AlGaPt6

A relaxed AlGaPt6 crystal (GGA-PBE, Alexandria via LeMat-Bulk).

Geometry as POSCAR:
```
AlGaPt6
1.0
-1.2247 -3.6902 -0.5922
3.3476 -0.8060 -1.9005
3.3254 -2.1929 6.7873
Pt Al Ga
6 1 1
direct
0.5000 0.0000 0.2536
0.5000 0.5000 0.5000
0.5000 0.5000 0.0000
0.5000 0.0000 0.7464
0.0000 0.5000 0.2536
0.0000 0.5000 0.7464
0.0000 0.0000 0.5000
0.0000 0.0000 0.0000
```

Summary:
Energy above the lowest structure with this stoichiometry, eV/atom: 0.000
Space-group type: P4/mmm, No. 123
ρ, g cm⁻³: 17.3
ΔH_f (0 K), eV per atom: -0.58



Record 11
# LiTl2HgCl5

A relaxed LiTl2HgCl5 crystal (GGA-PBE, Alexandria via LeMat-Bulk).

Geometry as POSCAR:
```
LiTl2HgCl5
1.0
4.2220 0.0000 0.0000
-2.1110 9.1225 0.0000
0.0000 0.0000 13.4081
Cl Hg Tl Li
10 2 4 2
direct
0.6913 0.3827 0.8769
0.3087 0.6173 0.3769
0.5002 0.0004 0.2863
0.2916 0.5833 0.6594
0.4998 0.9996 0.7863
0.6536 0.3073 0.5093
0.0641 0.1283 0.0232
0.3464 0.6927 0.0093
0.9359 0.8717 0.5232
0.7084 0.4167 0.1594
0.2073 0.4147 0.0230
0.7927 0.5853 0.5230
0.8733 0.7465 0.8155
0.8857 0.7713 0.1956
0.1143 0.2287 0.6956
0.1267 0.2535 0.3155
0.5659 0.1319 0.9349
0.4341 0.8681 0.4349
```

Summary:
E_form (uncorrected), eV per atom: -1.05
Space-group type: Cmc2_1, No. 36
ρ, g cm⁻³: 5.1



Record 12
# LiSnRhAu

A relaxed LiSnRhAu crystal (GGA-PBE, Alexandria via LeMat-Bulk).

Geometry as POSCAR:
```
LiSnRhAu
1.0
4.1702 0.0000 0.0000
0.0000 4.1702 -0.0002
-2.0851 -2.0847 3.7397
Li Sn Au Rh
1 1 1 1
direct
0.0000 0.0000 0.0000
0.5000 0.5000 0.0000
0.7500 0.2500 0.5000
0.2500 0.7500 0.5000
```

Summary:
Energy above the lowest structure with this stoichiometry, eV/atom: 0.000
Space-group type: I-4m2, No. 119
ρ, g cm⁻³: 10.9
ΔH_f (0 K), eV per atom: -0.42